## InNiF (PBE with a Hubbard U)

Data for a relaxed structure of InNiF.

a = 3.3037 Å, b = 3.3037 Å, c = 7.6543 Å
α = 96.04°, β = 96.04°, γ = 90.04°
With the nearest neighbours (Å) after each atom.
Sites, in units of the cell vectors:
1 In 0.1998 0.1998 0.2381  3 F 2.27-2.42
2 In 0.8002 0.8002 0.7619  3 F 2.27-2.42
3 Ni 0.2488 0.2896 0.5781  5 In 2.58-2.80, 4 Ni 2.62, 1 F 2.83
4 Ni 0.7104 0.7512 0.4219  5 In 2.58-2.80, 4 Ni 2.62, 1 F 2.83
5 F 0.3461 0.1105 0.9338  3 In 2.27-2.42, 3 F 2.49-2.54
6 F 0.8895 0.6539 0.0662  3 In 2.27-2.42, 3 F 2.49-2.54

Summary:
- electronic total energy (eV/f.u.) = -8.64
- symmetry = C2, No. 5
- size of the total moment (Bohr magnetons per cell) = 0.225